[1]
Computed, not measured: crystalline Nd2Nb2O5 at its relaxed geometry at the GGA-PBE level of DFT.

a b c (Å): 4.091 4.091 7.090
angles (deg): 90.00 90.00 90.00
Positions (direct):
1 Nd 0.000 0.000 0.000
2 Nd 0.000 0.000 0.500
3 Nb 0.500 0.500 0.196
4 Nb 0.500 0.500 0.804
5 O 0.000 0.500 0.245
6 O 0.000 0.500 0.755
7 O 0.500 0.000 0.245
8 O 0.500 0.000 0.755
9 O 0.500 0.500 0.500

Properties
Raw total energy in eV per atom: -8.4330
Space-group type: No. 123
Distance to the lowest polymorph of the same formula in kJ/mol of atoms: 0.0
M_tot in μB per cell: 0.004

[2]
Computed, not measured: crystalline Nd3NbO7 at its relaxed geometry at the GGA-PBE level of DFT.

a b c (Å): 7.610 10.937 7.582
angles (deg): 90.00 90.00 90.00
Positions (direct):
1 Nd 0.012 0.250 0.211
2 Nd 0.249 0.525 0.049
3 Nd 0.249 0.975 0.049
4 Nd 0.251 0.025 0.549
5 Nd 0.251 0.475 0.549
6 Nd 0.488 0.750 0.711
7 Nd 0.512 0.250 0.289
8 Nd 0.749 0.525 0.451
9 Nd 0.749 0.975 0.451
10 Nd 0.751 0.025 0.951
11 Nd 0.751 0.475 0.951
12 Nd 0.988 0.750 0.789
13 Nb 0.005 0.250 0.746
14 Nb 0.495 0.750 0.246
15 Nb 0.505 0.250 0.754
16 Nb 0.995 0.750 0.254
17 O 0.039 0.126 0.949
18 O 0.039 0.374 0.949
19 O 0.046 0.614 0.411
20 O 0.046 0.886 0.411
21 O 0.243 0.618 0.774
22 O 0.243 0.882 0.774
23 O 0.248 0.250 0.665
24 O 0.252 0.750 0.165
25 O 0.257 0.118 0.274
26 O 0.257 0.382 0.274
27 O 0.454 0.114 0.911
28 O 0.454 0.386 0.911
29 O 0.461 0.626 0.449
30 O 0.461 0.874 0.449
31 O 0.539 0.126 0.551
32 O 0.539 0.374 0.551
33 O 0.546 0.614 0.089
34 O 0.546 0.886 0.089
35 O 0.743 0.618 0.726
36 O 0.743 0.882 0.726
37 O 0.748 0.250 0.835
38 O 0.752 0.750 0.335
39 O 0.757 0.118 0.226
40 O 0.757 0.382 0.226
41 O 0.954 0.114 0.589
42 O 0.954 0.386 0.589
43 O 0.961 0.626 0.051
44 O 0.961 0.874 0.051

Properties
Raw total energy in eV per atom: -8.5648
Space-group type: No. 62
Distance to the lowest polymorph of the same formula in kJ/mol of atoms: 0.0
M_tot in μB per cell: 0.001

[3]
Computed, not measured: crystalline NdNb3O at its relaxed geometry at the GGA-PBE level of DFT.

a b c (Å): 4.467 4.467 4.467
angles (deg): 90.00 90.00 90.00
Positions (direct):
1 Nd 0.000 0.000 0.000
2 Nb 0.000 0.500 0.500
3 Nb 0.500 0.000 0.500
4 Nb 0.500 0.500 0.000
5 O 0.500 0.500 0.500

Properties
Raw total energy in eV per atom: -8.3800
Space-group type: No. 221
M_tot in μB per cell: 0.000

[4]
Computed, not measured: crystalline NdNbO at its relaxed geometry at the GGA-PBE level of DFT.

a b c (Å): 3.318 3.318 16.455
angles (deg): 90.00 90.00 120.00
Positions (direct):
1 Nd 0.000 0.000 0.000
2 Nd 0.000 0.000 0.332
3 Nd 0.000 0.000 0.665
4 Nb 0.333 0.667 0.163
5 Nb 0.333 0.667 0.498
6 Nb 0.667 0.333 0.831
7 O 0.333 0.667 0.902
8 O 0.667 0.333 0.236
9 O 0.667 0.333 0.427

Properties
Raw total energy in eV per atom: -7.7528
Space-group type: No. 156
M_tot in μB per cell: 0.023

[5]
Computed, not measured: crystalline Nd2Nb2O5 at its relaxed geometry at the GGA-PBE level of DFT.

a b c (Å): 3.545 3.545 10.254
angles (deg): 90.00 90.00 90.00
Positions (direct):
1 Nd 0.000 0.000 0.236
2 Nd 0.000 0.000 0.764
3 Nb 0.500 0.500 0.000
4 Nb 0.500 0.500 0.500
5 O 0.000 0.000 0.000
6 O 0.000 0.500 0.383
7 O 0.000 0.500 0.617
8 O 0.500 0.000 0.383
9 O 0.500 0.000 0.617

Properties
Raw total energy in eV per atom: -8.0945
Space-group type: No. 123
Distance to the lowest polymorph of the same formula in kJ/mol of atoms: 32.7
M_tot in μB per cell: 0.134

[6]
Computed, not measured: crystalline NdNbPO at its relaxed geometry at the GGA-PBE level of DFT.

a b c (Å): 4.196 4.196 7.786
angles (deg): 90.00 90.00 90.00
Positions (direct):
1 Nd 0.250 0.750 0.000
2 Nd 0.750 0.250 0.000
3 Nb 0.250 0.250 0.407
4 Nb 0.750 0.750 0.593
5 P 0.250 0.250 0.743
6 P 0.750 0.750 0.257
7 O 0.250 0.750 0.500
8 O 0.750 0.250 0.500

Properties
Raw total energy in eV per atom: -7.0393
Space-group type: No. 129
Distance to the lowest polymorph of the same formula in kJ/mol of atoms: 114.6
M_tot in μB per cell: 0.077

[7]
Computed, not measured: crystalline NdNbPO at its relaxed geometry at the GGA-PBE level of DFT.

a b c (Å): 4.016 4.016 9.015
angles (deg): 90.00 90.00 90.00
Positions (direct):
1 Nd 0.250 0.250 0.132
2 Nd 0.750 0.750 0.868
3 Nb 0.250 0.750 0.500
4 Nb 0.750 0.250 0.500
5 P 0.250 0.250 0.679
6 P 0.750 0.750 0.321
7 O 0.250 0.750 0.000
8 O 0.750 0.250 0.000

Properties
Raw total energy in eV per atom: -8.2268
Space-group type: No. 129
Distance to the lowest polymorph of the same formula in kJ/mol of atoms: 0.0
M_tot in μB per cell: 0.072

[8]
Computed, not measured: crystalline NdNbPO at its relaxed geometry at the GGA-PBE level of DFT.

a b c (Å): 4.642 5.979 5.825
angles (deg): 90.00 90.00 90.00
Positions (direct):
1 Nd 0.000 0.242 0.000
2 Nd 0.000 0.758 0.500
3 Nb 0.500 0.347 0.577
4 Nb 0.500 0.653 0.077
5 P 0.000 0.250 0.507
6 P 0.000 0.750 0.007
7 O 0.500 0.340 0.928
8 O 0.500 0.660 0.428

Properties
Raw total energy in eV per atom: -7.7717
Space-group type: No. 26
Distance to the lowest polymorph of the same formula in kJ/mol of atoms: 43.9
M_tot in μB per cell: 0.014

Among the records above, which one has the lowest M_tot? NdNb3O